! YMg2TlPt, relaxed, DFT PBE-GGA; values from VASP
! - VASP energy: -20.067 eV/f.u.
! - Formation energy from the elements: -0.401 eV/atom
! - Space-group type: No. 123
&SYSTEM
  ibrav = 0, nat = 5, ntyp = 4
/
ATOMIC_SPECIES
Y 88.91 Y.upf
Tl 204.38 Tl.upf
Mg 24.30 Mg.upf
Pt 195.08 Pt.upf
CELL_PARAMETERS angstrom
5.0679 0.0000 0.0000
0.0000 5.0679 0.0000
0.0000 0.0000 5.3390
ATOMIC_POSITIONS angstrom
Y 0.0000 0.0000 2.6695
Tl 2.5340 2.5340 2.6695
Mg 0.0000 2.5340 0.0000
Mg 2.5340 0.0000 0.0000
Pt 0.0000 0.0000 0.0000

***

! MgTlZn2Pt, relaxed, DFT PBE-GGA; values from VASP
! - VASP energy: -13.415 eV/f.u.
! - Formation energy from the elements: -0.173 eV/atom
! - Space-group type: No. 123
&SYSTEM
  ibrav = 0, nat = 5, ntyp = 4
/
ATOMIC_SPECIES
Mg 24.30 Mg.upf
Tl 204.38 Tl.upf
Zn 65.41 Zn.upf
Pt 195.08 Pt.upf
CELL_PARAMETERS angstrom
4.9059 0.0000 0.0000
0.0000 4.9059 0.0000
0.0000 0.0000 5.0293
ATOMIC_POSITIONS angstrom
Mg 0.0000 0.0000 2.5147
Tl 2.4530 2.4530 2.5147
Zn 0.0000 2.4530 0.0000
Zn 2.4530 0.0000 0.0000
Pt 0.0000 0.0000 0.0000

***

! MgTlZnPt2, relaxed, DFT PBE-GGA; values from VASP
! - VASP energy: -14.001 eV/f.u.
! - Formation energy from the elements: 0.663 eV/atom
! - Space-group type: No. 123
&SYSTEM
  ibrav = 0, nat = 5, ntyp = 4
/
ATOMIC_SPECIES
Mg 24.30 Mg.upf
Tl 204.38 Tl.upf
Zn 65.41 Zn.upf
Pt 195.08 Pt.upf
CELL_PARAMETERS angstrom
4.7548 0.0000 0.0000
0.0000 5.2452 0.0000
0.0000 0.0000 4.7548
ATOMIC_POSITIONS angstrom
Mg 0.0000 0.0000 0.0000
Tl 0.0000 2.6226 0.0000
Zn 2.3774 2.6226 2.3774
Pt 0.0000 0.0000 2.3774
Pt 2.3774 0.0000 0.0000

***

! Tm3MgPt4, relaxed, DFT PBE-GGA; values from VASP
! - VASP energy: -48.677 eV/f.u.
! - Formation energy from the elements: -1.188 eV/atom
! - Space-group type: No. 123
&SYSTEM
  ibrav = 0, nat = 16, ntyp = 3
/
ATOMIC_SPECIES
Mg 24.30 Mg.upf
Tm 168.93 Tm.upf
Pt 195.08 Pt.upf
CELL_PARAMETERS angstrom
-3.3516 1.5922 -3.0957
-4.8059 -1.9865 4.1814
0.1523 8.6558 4.2871
ATOMIC_POSITIONS angstrom
Mg -2.4029 -0.9932 2.0907
Mg -2.3268 3.3347 4.2343
Tm 0.0000 0.0000 0.0000
Tm 0.0761 4.3279 2.1436
Tm -1.5617 7.2881 1.6674
Tm -1.6375 2.9600 -0.4759
Tm -3.9657 6.2953 3.7571
Tm -4.0394 1.9663 1.6158
Pt -5.2646 -0.6873 1.5746
Pt -5.1884 3.6406 3.7182
Pt -2.8929 0.2931 -0.4889
Pt -2.8167 4.6210 1.6547
Pt -3.4742 5.0094 6.3360
Pt -6.9002 2.2729 1.0983
Pt -4.5310 3.2522 -0.9631
Pt -1.1050 5.9887 4.2746

***

! Tm2MgPt, relaxed, DFT PBE-GGA; values from VASP
! - Energy relative to the lowest polymorph listed for this composition: 1 meV per atom
! - VASP energy: -19.378 eV/f.u.
! - Formation energy from the elements: -0.700 eV/atom
! - Space-group type: No. 123
&SYSTEM
  ibrav = 0, nat = 4, ntyp = 3
/
ATOMIC_SPECIES
Mg 24.30 Mg.upf
Tm 168.93 Tm.upf
Pt 195.08 Pt.upf
CELL_PARAMETERS angstrom
-2.2604 -1.9555 1.9489
0.0489 -2.5467 -2.4987
5.6589 -3.1904 3.3623
ATOMIC_POSITIONS angstrom
Mg 1.7237 -3.8463 1.4062
Tm 4.4258 -2.4952 2.6296
Tm 1.2331 -0.6952 0.7327
Pt -1.1058 -2.2511 -0.2749

***

! Tm4MgPt2, relaxed, DFT PBE-GGA; values from VASP
! - VASP energy: -36.597 eV/f.u.
! - Formation energy from the elements: -0.719 eV/atom
! - Space-group type: No. 166
&SYSTEM
  ibrav = 0, nat = 7, ntyp = 3
/
ATOMIC_SPECIES
Tm 168.93 Tm.upf
Mg 24.30 Mg.upf
Pt 195.08 Pt.upf
CELL_PARAMETERS angstrom
4.7724 0.0000 0.0000
2.3862 4.1331 0.0000
2.3862 1.3777 9.2232
ATOMIC_POSITIONS angstrom
Tm 4.7724 2.7554 7.6014
Tm 2.3862 1.3777 3.6147
Tm 7.1587 4.1331 5.6085
Tm 4.7724 2.7554 1.6218
Mg 0.0000 0.0000 0.0000
Pt 2.3862 1.3777 6.5180
Pt 7.1587 4.1331 2.7052

***

! Tm4Mg3Pt, relaxed, DFT PBE-GGA; values from VASP
! - VASP energy: -31.730 eV/f.u.
! - Formation energy from the elements: -0.377 eV/atom
! - Space-group type: No. 123
&SYSTEM
  ibrav = 0, nat = 8, ntyp = 3
/
ATOMIC_SPECIES
Mg 24.30 Mg.upf
Tm 168.93 Tm.upf
Pt 195.08 Pt.upf
CELL_PARAMETERS angstrom
3.6164 0.0000 0.0000
0.0000 3.6164 0.0000
0.0000 0.0000 15.0892
ATOMIC_POSITIONS angstrom
Mg 1.8082 1.8082 3.6163
Mg 1.8082 1.8082 7.5446
Mg 1.8082 1.8082 11.4729
Tm 0.0000 0.0000 13.5091
Tm 0.0000 0.0000 1.5801
Tm 0.0000 0.0000 5.5619
Tm 0.0000 0.0000 9.5273
Pt 1.8082 1.8082 0.0000

***

! TmMgPt2, relaxed, DFT PBE-GGA; values from VASP
! - VASP energy: -22.374 eV/f.u.
! - Formation energy from the elements: -1.057 eV/atom
! - Space-group type: No. 123
&SYSTEM
  ibrav = 0, nat = 4, ntyp = 3
/
ATOMIC_SPECIES
Mg 24.30 Mg.upf
Tm 168.93 Tm.upf
Pt 195.08 Pt.upf
CELL_PARAMETERS angstrom
-0.8350 -2.9529 -1.5722
4.2475 -0.2372 -1.8104
1.4423 -2.3752 3.6950
ATOMIC_POSITIONS angstrom
Mg -0.4175 -1.4764 -0.7861
Tm 2.4273 -2.7826 0.1562
Pt 0.7211 -1.1876 1.8475
Pt 2.1237 -0.1186 -0.9052

***

! Tm6MgPt, relaxed, DFT PBE-GGA; values from VASP
! - VASP energy: -35.221 eV/f.u.
! - Formation energy from the elements: -0.095 eV/atom
! - Space-group type: No. 12
&SYSTEM
  ibrav = 0, nat = 8, ntyp = 3
/
ATOMIC_SPECIES
Tm 168.93 Tm.upf
Mg 24.30 Mg.upf
Pt 195.08 Pt.upf
CELL_PARAMETERS angstrom
6.6710 -0.3749 -0.4878
-2.8298 6.0527 -0.4878
-1.1794 -1.7433 6.2595
ATOMIC_POSITIONS angstrom
Tm 0.1900 0.2809 4.3038
Tm 2.7208 -0.1210 1.3009
Tm 2.4718 3.6537 0.9802
Tm 3.7864 1.4541 3.9830
Tm -0.0590 4.0556 3.9830
Tm -1.1246 2.4805 1.3009
Mg 0.0000 0.0000 0.0000
Pt 1.3309 1.9673 2.6420

***

! Tm2MgPt, relaxed, DFT PBE-GGA; values from VASP
! - Energy relative to the lowest polymorph listed for this composition: 70 meV per atom
! - VASP energy: -19.101 eV/f.u.
! - Formation energy from the elements: -0.631 eV/atom
! - Space-group type: No. 225
&SYSTEM
  ibrav = 0, nat = 4, ntyp = 3
/
ATOMIC_SPECIES
Mg 24.30 Mg.upf
Tm 168.93 Tm.upf
Pt 195.08 Pt.upf
CELL_PARAMETERS angstrom
5.0154 0.0000 0.0000
2.5077 4.3435 0.0000
2.5077 1.4478 4.0951
ATOMIC_POSITIONS angstrom
Mg 5.0154 2.8957 2.0475
Tm 2.5077 1.4478 1.0238
Tm 7.5232 4.3435 3.0713
Pt 0.0000 0.0000 0.0000

***

! Tm3MgPt12, relaxed, DFT PBE-GGA; values from VASP
! - VASP energy: -102.850 eV/f.u.
! - Formation energy from the elements: -0.959 eV/atom
! - Space-group type: No. 123
&SYSTEM
  ibrav = 0, nat = 16, ntyp = 3
/
ATOMIC_SPECIES
Tm 168.93 Tm.upf
Mg 24.30 Mg.upf
Pt 195.08 Pt.upf
CELL_PARAMETERS angstrom
-1.2324 -3.7145 1.1152
3.7016 -0.7773 1.5014
-4.5949 5.8322 14.3482
ATOMIC_POSITIONS angstrom
Tm -1.1284 1.4323 3.5237
Tm -2.2974 2.9161 7.1741
Tm -3.4665 4.3999 10.8245
Mg 0.0000 0.0000 0.0000
Pt 1.2346 -2.2459 1.3083
Pt 0.1058 -0.8131 4.8333
Pt -1.0628 0.6702 8.4824
Pt -2.2314 2.1534 12.1315
Pt -1.1601 -1.1669 2.2560
Pt -2.3292 0.3171 5.9069
Pt -3.4980 1.8006 9.5565
Pt -4.6672 3.2846 13.2074
Pt 1.3069 0.3017 2.4491
Pt 0.1378 1.7857 6.0999
Pt -1.0310 3.2692 9.7496
Pt -2.2002 4.7532 13.4005

***

! Tm2MgPt9, relaxed, DFT PBE-GGA; values from VASP
! - VASP energy: -75.900 eV/f.u.
! - Formation energy from the elements: -0.916 eV/atom
! - Space-group type: No. 123
&SYSTEM
  ibrav = 0, nat = 12, ntyp = 3
/
ATOMIC_SPECIES
Tm 168.93 Tm.upf
Mg 24.30 Mg.upf
Pt 195.08 Pt.upf
CELL_PARAMETERS angstrom
4.0554 0.0000 0.0000
0.0000 4.0554 0.0000
0.0000 0.0000 12.1044
ATOMIC_POSITIONS angstrom
Tm 0.0000 0.0000 3.9827
Tm 0.0000 0.0000 8.1217
Mg 0.0000 0.0000 0.0000
Pt 2.0277 2.0277 0.0000
Pt 2.0277 2.0277 3.9912
Pt 2.0277 2.0277 8.1132
Pt 2.0277 0.0000 1.9212
Pt 2.0277 0.0000 6.0522
Pt 2.0277 0.0000 10.1832
Pt 0.0000 2.0277 1.9212
Pt 0.0000 2.0277 6.0522
Pt 0.0000 2.0277 10.1832

***

! Tm2Mg3Pt4, relaxed, DFT PBE-GGA; values from VASP
! - VASP energy: -46.968 eV/f.u.
! - Formation energy from the elements: -1.009 eV/atom
! - Space-group type: No. 14
&SYSTEM
  ibrav = 0, nat = 18, ntyp = 3
/
ATOMIC_SPECIES
Tm 168.93 Tm.upf
Mg 24.30 Mg.upf
Pt 195.08 Pt.upf
CELL_PARAMETERS angstrom
7.0678 -0.0956 0.0000
-2.4140 6.8553 0.0000
0.0000 0.0000 7.2507
ATOMIC_POSITIONS angstrom
Tm 3.4588 1.2461 2.3613
Tm 4.7288 5.4658 5.9867
Tm 1.1950 5.5136 4.8893
Tm -0.0750 1.2939 1.2640
Mg -1.2070 3.4276 3.6253
Mg 2.3269 3.3798 0.0000
Mg 4.6564 1.6711 6.0108
Mg 3.5313 5.0408 2.3855
Mg -0.0026 5.0886 1.2398
Mg 1.1225 1.7189 4.8652
Pt 5.7703 0.4255 3.8893
Pt 2.4174 6.2864 0.2640
Pt -1.1165 6.3342 3.3613
Pt 2.2364 0.4733 6.9867
Pt 4.9253 3.2356 0.9950
Pt 3.2624 3.4762 4.6203
Pt -0.2715 3.5240 6.2557
Pt 1.3914 3.2834 2.6304

***

! Tm8Mg2Pt, relaxed, DFT PBE-GGA; values from VASP
! - VASP energy: -47.182 eV/f.u.
! - Formation energy from the elements: -0.198 eV/atom
! - Space-group type: No. 12
&SYSTEM
  ibrav = 0, nat = 11, ntyp = 3
/
ATOMIC_SPECIES
Tm 168.93 Tm.upf
Mg 24.30 Mg.upf
Pt 195.08 Pt.upf
CELL_PARAMETERS angstrom
5.3516 0.0000 0.0000
0.0000 6.9549 -0.0513
-2.6758 -3.0540 8.1416
ATOMIC_POSITIONS angstrom
Tm 0.0000 1.5828 6.5130
Tm 2.6758 5.6181 2.3881
Tm 2.6758 3.2299 4.9147
Tm 2.6758 -1.4108 7.8641
Tm 0.0000 0.6709 3.1757
Tm 0.0000 -1.7173 5.7022
Tm 2.6758 2.3181 1.5773
Tm 0.0000 5.3117 0.2262
Mg 2.6758 0.1613 5.1664
Mg 0.0000 3.7396 2.9239
Pt 2.6758 0.0000 0.0000

***

! TmMg2Pt3, relaxed, DFT PBE-GGA; values from VASP
! - Energy relative to the lowest polymorph listed for this composition: 0 meV per atom
! - VASP energy: -31.805 eV/f.u.
! - Formation energy from the elements: -1.004 eV/atom
! - Space-group type: No. 123
&SYSTEM
  ibrav = 0, nat = 6, ntyp = 3
/
ATOMIC_SPECIES
Tm 168.93 Tm.upf
Mg 24.30 Mg.upf
Pt 195.08 Pt.upf
CELL_PARAMETERS angstrom
3.3735 0.0000 0.0000
0.0000 3.3735 0.0000
0.0000 0.0000 9.2548
ATOMIC_POSITIONS angstrom
Tm 1.6868 1.6868 4.6274
Mg 1.6868 1.6868 7.8112
Mg 1.6868 1.6868 1.4436
Pt 0.0000 0.0000 0.0000
Pt 0.0000 0.0000 6.2945
Pt 0.0000 0.0000 2.9603

***

! TmMgPt4, relaxed, DFT PBE-GGA; values from VASP
! - VASP energy: -34.385 eV/f.u.
! - Formation energy from the elements: -0.693 eV/atom
! - Space-group type: No. 123
&SYSTEM
  ibrav = 0, nat = 6, ntyp = 3
/
ATOMIC_SPECIES
Tm 168.93 Tm.upf
Mg 24.30 Mg.upf
Pt 195.08 Pt.upf
CELL_PARAMETERS angstrom
3.8463 0.0000 -0.0012
-0.0001 3.8462 -0.0018
0.0027 0.0035 8.1361
ATOMIC_POSITIONS angstrom
Tm 0.0056 3.8387 4.0507
Mg 1.9318 1.9141 8.1209
Pt 1.9285 3.8365 1.9383
Pt 1.9299 3.8384 6.1622
Pt 0.0070 1.9158 6.1637
Pt 0.0056 1.9139 1.9397

***

! TmMg2Pt3, relaxed, DFT PBE-GGA; values from VASP
! - Energy relative to the lowest polymorph listed for this composition: 15 meV per atom
! - VASP energy: -31.713 eV/f.u.
! - Formation energy from the elements: -0.988 eV/atom
! - Space-group type: No. 164
&SYSTEM
  ibrav = 0, nat = 6, ntyp = 3
/
ATOMIC_SPECIES
Tm 168.93 Tm.upf
Mg 24.30 Mg.upf
Pt 195.08 Pt.upf
CELL_PARAMETERS angstrom
4.6322 0.0000 0.0000
-2.3161 4.0116 0.0000
0.0000 0.0000 5.7111
ATOMIC_POSITIONS angstrom
Tm 0.0000 0.0000 0.0000
Mg 2.3161 1.3372 1.9529
Mg 0.0000 2.6744 3.7583
Pt 0.0000 0.0000 2.8556
Pt 2.3161 1.3372 4.6912
Pt 0.0000 2.6744 1.0200

***

! Tm6Mg2Pt, relaxed, DFT PBE-GGA; values from VASP
! - VASP energy: -37.856 eV/f.u.
! - Formation energy from the elements: -0.200 eV/atom
! - Space-group type: No. 14
&SYSTEM
  ibrav = 0, nat = 18, ntyp = 3
/
ATOMIC_SPECIES
Tm 168.93 Tm.upf
Mg 24.30 Mg.upf
Pt 195.08 Pt.upf
CELL_PARAMETERS angstrom
-0.6551 3.5645 5.3602
-6.6440 2.5027 -2.4763
-4.9553 -6.5605 6.6646
ATOMIC_POSITIONS angstrom
Tm -8.2499 3.8143 3.8843
Tm -7.4336 1.3041 6.1911
Tm -10.1204 -1.5133 9.3146
Tm -4.4651 -0.6567 6.4228
Tm -6.4315 -3.7454 9.8148
Tm -4.7536 1.8469 3.9313
Tm -4.0045 -4.3076 5.6641
Tm -4.8208 -1.7974 3.3573
Tm -2.1340 1.0199 0.2338
Tm -7.7893 0.1633 3.1256
Tm -5.8229 3.2520 -0.2664
Tm -7.5008 -2.3402 5.6171
Mg -7.1063 -0.9470 8.5704
Mg -10.1828 -0.2045 6.1594
Mg -2.0716 -0.2888 3.3890
Mg -5.1481 0.4537 0.9780
Pt -3.6496 3.0336 1.4419
Pt -2.4776 -3.2802 3.3323

***

! TmMg3Pt2, relaxed, DFT PBE-GGA; values from VASP
! - VASP energy: -26.484 eV/f.u.
! - Formation energy from the elements: -0.858 eV/atom
! - Space-group type: No. 26
&SYSTEM
  ibrav = 0, nat = 12, ntyp = 3
/
ATOMIC_SPECIES
Tm 168.93 Tm.upf
Mg 24.30 Mg.upf
Pt 195.08 Pt.upf
CELL_PARAMETERS angstrom
-0.7577 -2.7280 -2.9376
3.5000 -4.8425 3.5943
-7.0662 -2.2225 3.8864
ATOMIC_POSITIONS angstrom
Tm -2.6473 -5.2610 2.7353
Tm -3.1771 -2.4560 0.2670
Mg -4.8874 -4.2948 5.2490
Mg 2.8190 -4.8427 3.7701
Mg 0.5710 -4.8709 1.5429
Mg -5.6627 -3.8599 2.2118
Mg -0.8429 -2.4322 2.4760
Mg -1.9210 -5.7429 5.8287
Pt -3.9632 -6.9634 4.6556
Pt -0.3436 -2.8533 -0.0949
Pt -3.4715 -2.5360 3.2505
Pt -0.1438 -4.4611 4.1799

***

! Tm4MgPt5, relaxed, DFT PBE-GGA; values from VASP
! - VASP energy: -61.715 eV/f.u.
! - Formation energy from the elements: -1.203 eV/atom
! - Space-group type: No. 123
&SYSTEM
  ibrav = 0, nat = 10, ntyp = 3
/
ATOMIC_SPECIES
Tm 168.93 Tm.upf
Mg 24.30 Mg.upf
Pt 195.08 Pt.upf
CELL_PARAMETERS angstrom
3.4276 0.0000 0.0000
0.0000 3.4276 0.0000
0.0000 0.0000 16.7155
ATOMIC_POSITIONS angstrom
Tm 0.0000 0.0000 3.1372
Tm 0.0000 0.0000 6.6203
Tm 0.0000 0.0000 10.0953
Tm 0.0000 0.0000 13.5784
Mg 0.0000 0.0000 0.0000
Pt 1.7138 1.7138 1.4856
Pt 1.7138 1.7138 4.8711
Pt 1.7138 1.7138 8.3578
Pt 1.7138 1.7138 11.8445
Pt 1.7138 1.7138 15.2299